# 1
A relaxed structure of Ac5Hg2Ir2, computed with PBE.

Results
ΔE_f (eV per atom): -0.543

Lattice parameters (Å, degrees): 9.4068 9.4068 8.3955 90.00 90.00 51.87
Last column: nearest neighbours and their distance in Å.
Positions (direct):
Ac: 0.0000 0.0000 0.0000  4 Ir 3.20-3.26
Ac: 0.0453 0.7164 0.6662  3 Ir 3.09-3.24, 1 Hg 3.45
Ac: 0.2164 0.5453 0.1662  3 Ir 3.09-3.24, 1 Hg 3.45
Ac: 0.2836 0.9547 0.6662  3 Ir 3.09-3.24, 1 Hg 3.45
Ac: 0.4547 0.7836 0.1662  3 Ir 3.09-3.24, 1 Hg 3.45
Ac: 0.5000 0.5000 0.5000  4 Ir 3.20-3.26
Ac: 0.5453 0.2164 0.8338  3 Ir 3.09-3.24, 1 Hg 3.45
Ac: 0.7164 0.0453 0.3338  3 Ir 3.09-3.24, 1 Hg 3.45
Ac: 0.7836 0.4547 0.8338  3 Ir 3.09-3.24, 1 Hg 3.45
Ac: 0.9547 0.2836 0.3338  3 Ir 3.09-3.24, 1 Hg 3.45
Hg: 0.2126 0.2126 0.0000  7 Ac 3.45-3.60
Hg: 0.2874 0.2874 0.5000  7 Ac 3.45-3.60
Hg: 0.7126 0.7126 0.5000  7 Ac 3.45-3.60
Hg: 0.7874 0.7874 0.0000  7 Ac 3.45-3.60
Ir: 0.1363 0.8637 0.3648  8 Ac 3.09-3.26, 1 Ir 3.19
Ir: 0.3637 0.6363 0.8648  8 Ac 3.09-3.26, 1 Ir 3.19
Ir: 0.6363 0.3637 0.1352  8 Ac 3.09-3.26, 1 Ir 3.19
Ir: 0.8637 0.1363 0.6352  8 Ac 3.09-3.26, 1 Ir 3.19

---

# 2
A relaxed structure of Na2TaSb, computed with PBE.

Results
Energy relative to the elements, uncorrected (meV/atom): 798

Lattice parameters (Å, degrees): 6.8346 6.8346 6.8346 99.35 99.35 132.45
Last column: nearest neighbours and their distance in Å.
Positions (direct):
Na: 0.1057 0.6250 0.9807  2 Na 2.78, 2 Sb 3.09
Na: 0.3750 0.3557 0.4807  2 Na 2.78, 2 Sb 3.09
Na: 0.6443 0.1250 0.0193  2 Na 2.78, 2 Sb 3.09
Na: 0.8750 0.8943 0.5193  2 Na 2.78, 2 Sb 3.09
Ta: 0.2500 0.7500 0.5000  2 Sb 2.76
Ta: 0.5000 0.5000 0.0000  2 Sb 2.76
Sb: 0.0000 0.0000 0.0000  2 Ta 2.76
Sb: 0.7500 0.2500 0.5000  2 Ta 2.76

---

# 3
A relaxed structure of SiSbTe2, computed with PBE.

Results
ΔE to the lowest computed polymorph (meV per atom): 353
Energy relative to the elements, uncorrected (meV/atom): 477

Lattice parameters (Å, degrees): 3.6442 5.0748 5.5585 90.00 90.00 90.00
Last column: nearest neighbours and their distance in Å.
Positions (direct):
Si: 0.0000 0.0000 0.0000  4 Te 3.12, 4 Sb 3.32
Sb: 0.5000 0.0000 0.5000  4 Te 3.12, 4 Si 3.32
Te: 0.0000 0.5000 0.5000  4 Sb 3.12, 4 Te 3.32
Te: 0.5000 0.5000 0.0000  4 Si 3.12, 4 Te 3.32

---

E_tot in eV/atom, matching the order above: -4.8613; -3.8553; -3.4805